# Ba6Bi3Sb, relaxed, DFT GGA-PBE
data_Ba6Bi3Sb
_chemical_formula_sum 'Ba12 Bi6 Sb2'
_symmetry_space_group_name_H-M 'P 1'
_symmetry_Int_Tables_number 1
_cell_length_a 8.7305
_cell_length_b 9.3988
_cell_length_c 12.4170
_cell_angle_alpha 90.00
_cell_angle_beta 88.54
_cell_angle_gamma 90.00
loop_
_symmetry_equiv_pos_as_xyz
'x,y,z'
loop_
_atom_site_label
_atom_site_type_symbol
_atom_site_fract_x
_atom_site_fract_y
_atom_site_fract_z
Ba1 Ba 0.1826 0.3087 0.0833
Ba2 Ba 0.6798 0.1791 0.9350
Ba3 Ba 0.6826 0.1913 0.5833
Ba4 Ba 0.3202 0.8209 0.0650
Ba5 Ba 0.3174 0.8087 0.4167
Ba6 Ba 0.1546 0.0812 0.7512
Ba7 Ba 0.1798 0.3209 0.4350
Ba8 Ba 0.8454 0.9188 0.2488
Ba9 Ba 0.8202 0.6791 0.5650
Ba10 Ba 0.3454 0.5812 0.7488
Ba11 Ba 0.6546 0.4188 0.2512
Ba12 Ba 0.8174 0.6913 0.9167
Sb1 Sb 0.0000 0.0000 0.0000
Sb2 Sb 0.5000 0.5000 0.5000
Bi1 Bi 0.9709 0.4175 0.7420
Bi2 Bi 0.0291 0.5825 0.2580
Bi3 Bi 0.5000 0.5000 0.0000
Bi4 Bi 0.0000 0.0000 0.5000
Bi5 Bi 0.5291 0.9175 0.7580
Bi6 Bi 0.4709 0.0825 0.2420
# Formation energy from raw total energies in eV/f.u.: -8.92
# Size of the total moment in Bohr magnetons per cell: 0.00

***

# Ba2Bi2Sb, relaxed, DFT GGA-PBE
data_Ba2Bi2Sb
_chemical_formula_sum 'Ba4 Bi4 Sb2'
_symmetry_space_group_name_H-M 'P 1'
_symmetry_Int_Tables_number 1
_cell_length_a 5.0015
_cell_length_b 6.9834
_cell_length_c 13.0227
_cell_angle_alpha 86.73
_cell_angle_beta 78.93
_cell_angle_gamma 69.02
loop_
_symmetry_equiv_pos_as_xyz
'x,y,z'
loop_
_atom_site_label
_atom_site_type_symbol
_atom_site_fract_x
_atom_site_fract_y
_atom_site_fract_z
Ba1 Ba 0.0843 0.7212 0.1101
Ba2 Ba 0.3049 0.7623 0.6279
Ba3 Ba 0.9157 0.2788 0.8899
Ba4 Ba 0.6951 0.2377 0.3721
Bi1 Bi 0.9672 0.6574 0.4082
Bi2 Bi 0.6244 0.8457 0.9055
Bi3 Bi 0.3756 0.1543 0.0945
Bi4 Bi 0.0328 0.3426 0.5918
Sb1 Sb 0.4196 0.8735 0.2873
Sb2 Sb 0.5804 0.1265 0.7127
# Formation energy from raw total energies in eV/f.u.: -3.47
# Size of the total moment in Bohr magnetons per cell: 0.00

***

# Ba5Bi2Sb, relaxed, DFT GGA-PBE
data_Ba5Bi2Sb
_chemical_formula_sum 'Ba10 Bi4 Sb2'
_symmetry_space_group_name_H-M 'P 1'
_symmetry_Int_Tables_number 1
_cell_length_a 5.3326
_cell_length_b 9.4339
_cell_length_c 14.5602
_cell_angle_alpha 90.00
_cell_angle_beta 90.00
_cell_angle_gamma 90.00
loop_
_symmetry_equiv_pos_as_xyz
'x,y,z'
loop_
_atom_site_label
_atom_site_type_symbol
_atom_site_fract_x
_atom_site_fract_y
_atom_site_fract_z
Ba1 Ba 0.0000 0.1597 0.7899
Ba2 Ba 0.0000 0.0000 0.5000
Ba3 Ba 0.5000 0.1920 0.0850
Ba4 Ba 0.0000 0.8403 0.2101
Ba5 Ba 0.5000 0.6920 0.4150
Ba6 Ba 0.5000 0.8080 0.9150
Ba7 Ba 0.0000 0.5000 0.0000
Ba8 Ba 0.0000 0.3403 0.2899
Ba9 Ba 0.5000 0.3080 0.5850
Ba10 Ba 0.0000 0.6597 0.7101
Bi1 Bi 0.5000 0.4337 0.8296
Bi2 Bi 0.5000 0.5663 0.1704
Bi3 Bi 0.5000 0.9337 0.6704
Bi4 Bi 0.5000 0.0663 0.3296
Sb1 Sb 0.0000 0.0000 0.0000
Sb2 Sb 0.0000 0.5000 0.5000
# Formation energy from raw total energies in eV/f.u.: -7.29
# Size of the total moment in Bohr magnetons per cell: 1.71

***

# Ba2Bi4Sb, relaxed, DFT GGA-PBE
data_Ba2Bi4Sb
_chemical_formula_sum 'Ba2 Bi4 Sb1'
_symmetry_space_group_name_H-M 'P 1'
_symmetry_Int_Tables_number 1
_cell_length_a 6.9519
_cell_length_b 6.9519
_cell_length_c 7.3403
_cell_angle_alpha 118.27
_cell_angle_beta 118.27
_cell_angle_gamma 90.00
loop_
_symmetry_equiv_pos_as_xyz
'x,y,z'
loop_
_atom_site_label
_atom_site_type_symbol
_atom_site_fract_x
_atom_site_fract_y
_atom_site_fract_z
Bi1 Bi 0.7859 0.7859 0.0717
Bi2 Bi 0.7856 0.2857 0.0714
Bi3 Bi 0.2856 0.2856 0.0712
Bi4 Bi 0.2857 0.7856 0.0714
Sb1 Sb 0.7859 0.7859 0.5716
Ba1 Ba 0.2858 0.7855 0.5714
Ba2 Ba 0.7855 0.2858 0.5714
# Formation energy from raw total energies in eV/f.u.: -3.41
# Size of the total moment in Bohr magnetons per cell: 0.00

***

# BaBi2Sb, relaxed, DFT GGA-PBE
data_BaBi2Sb
_chemical_formula_sum 'Ba1 Bi2 Sb1'
_symmetry_space_group_name_H-M 'P 1'
_symmetry_Int_Tables_number 1
_cell_length_a 5.2170
_cell_length_b 5.0648
_cell_length_c 5.0648
_cell_angle_alpha 90.00
_cell_angle_beta 90.00
_cell_angle_gamma 90.00
loop_
_symmetry_equiv_pos_as_xyz
'x,y,z'
loop_
_atom_site_label
_atom_site_type_symbol
_atom_site_fract_x
_atom_site_fract_y
_atom_site_fract_z
Bi1 Bi 0.0000 0.5000 0.0000
Bi2 Bi 0.0000 0.0000 0.5000
Ba1 Ba 0.5000 0.5000 0.5000
Sb1 Sb 0.5000 0.0000 0.0000
# Formation energy from raw total energies in eV/f.u.: -1.80
# Size of the total moment in Bohr magnetons per cell: 0.00

***

# BaBi4Sb, relaxed, DFT GGA-PBE
data_BaBi4Sb
_chemical_formula_sum 'Ba1 Bi4 Sb1'
_symmetry_space_group_name_H-M 'P 1'
_symmetry_Int_Tables_number 1
_cell_length_a 6.6566
_cell_length_b 6.6566
_cell_length_c 6.6566
_cell_angle_alpha 60.00
_cell_angle_beta 60.00
_cell_angle_gamma 60.00
loop_
_symmetry_equiv_pos_as_xyz
'x,y,z'
loop_
_atom_site_label
_atom_site_type_symbol
_atom_site_fract_x
_atom_site_fract_y
_atom_site_fract_z
Bi1 Bi 0.1197 0.6268 0.6268
Bi2 Bi 0.6268 0.1197 0.6268
Bi3 Bi 0.6268 0.6268 0.1197
Bi4 Bi 0.6268 0.6268 0.6268
Ba1 Ba 0.2500 0.2500 0.2500
Sb1 Sb 0.0000 0.0000 0.0000
# Formation energy from raw total energies in eV/f.u.: -0.93
# Size of the total moment in Bohr magnetons per cell: 0.00

***

# Ba2Bi2Sb, relaxed, DFT GGA-PBE
data_Ba2Bi2Sb
_chemical_formula_sum 'Ba2 Bi2 Sb1'
_symmetry_space_group_name_H-M 'P 1'
_symmetry_Int_Tables_number 1
_cell_length_a 4.4974
_cell_length_b 4.4974
_cell_length_c 10.5511
_cell_angle_alpha 77.69
_cell_angle_beta 77.69
_cell_angle_gamma 90.00
loop_
_symmetry_equiv_pos_as_xyz
'x,y,z'
loop_
_atom_site_label
_atom_site_type_symbol
_atom_site_fract_x
_atom_site_fract_y
_atom_site_fract_z
Bi1 Bi 0.2500 0.7500 0.5000
Bi2 Bi 0.7500 0.2500 0.5000
Ba1 Ba 0.5967 0.5967 0.8067
Ba2 Ba 0.4033 0.4033 0.1933
Sb1 Sb 0.0000 0.0000 0.0000
# Formation energy from raw total energies in eV/f.u.: -3.41
# Size of the total moment in Bohr magnetons per cell: 0.00

***

# Ba2Bi3Sb2, relaxed, DFT GGA-PBE
data_Ba2Bi3Sb2
_chemical_formula_sum 'Ba2 Bi3 Sb2'
_symmetry_space_group_name_H-M 'P 1'
_symmetry_Int_Tables_number 1
_cell_length_a 5.6004
_cell_length_b 6.7754
_cell_length_c 7.7135
_cell_angle_alpha 99.15
_cell_angle_beta 90.00
_cell_angle_gamma 114.41
loop_
_symmetry_equiv_pos_as_xyz
'x,y,z'
loop_
_atom_site_label
_atom_site_type_symbol
_atom_site_fract_x
_atom_site_fract_y
_atom_site_fract_z
Bi1 Bi 0.6173 0.2346 0.4175
Bi2 Bi 0.3827 0.7654 0.5825
Bi3 Bi 0.5000 0.0000 0.0000
Ba1 Ba 0.8699 0.7398 0.2076
Ba2 Ba 0.1301 0.2602 0.7924
Sb1 Sb 0.8330 0.6659 0.7267
Sb2 Sb 0.1670 0.3341 0.2733
# Formation energy from raw total energies in eV/f.u.: -3.64
# Size of the total moment in Bohr magnetons per cell: 0.00

***

# BaBiSb2, relaxed, DFT GGA-PBE
data_BaBiSb2
_chemical_formula_sum 'Ba1 Bi1 Sb2'
_symmetry_space_group_name_H-M 'P 1'
_symmetry_Int_Tables_number 1
_cell_length_a 5.4762
_cell_length_b 5.4762
_cell_length_c 6.4986
_cell_angle_alpha 65.08
_cell_angle_beta 65.08
_cell_angle_gamma 60.00
loop_
_symmetry_equiv_pos_as_xyz
'x,y,z'
loop_
_atom_site_label
_atom_site_type_symbol
_atom_site_fract_x
_atom_site_fract_y
_atom_site_fract_z
Sb1 Sb 0.7927 0.7927 0.6218
Sb2 Sb 0.2073 0.2073 0.3782
Bi1 Bi 0.5000 0.5000 0.5000
Ba1 Ba 0.0000 0.0000 0.0000
# Formation energy from raw total energies in eV/f.u.: -1.56
# Size of the total moment in Bohr magnetons per cell: 0.00

***

# Ba4BiSb2, relaxed, DFT GGA-PBE
data_Ba4BiSb2
_chemical_formula_sum 'Ba4 Bi1 Sb2'
_symmetry_space_group_name_H-M 'P 1'
_symmetry_Int_Tables_number 1
_cell_length_a 6.4617
_cell_length_b 6.4617
_cell_length_c 10.0365
_cell_angle_alpha 71.22
_cell_angle_beta 71.22
_cell_angle_gamma 90.00
loop_
_symmetry_equiv_pos_as_xyz
'x,y,z'
loop_
_atom_site_label
_atom_site_type_symbol
_atom_site_fract_x
_atom_site_fract_y
_atom_site_fract_z
Sb1 Sb 0.6203 0.6203 0.7594
Sb2 Sb 0.3797 0.3797 0.2406
Ba1 Ba 0.0000 0.5000 0.0000
Ba2 Ba 0.8096 0.8096 0.3808
Ba3 Ba 0.5000 0.0000 0.0000
Ba4 Ba 0.1904 0.1904 0.6192
Bi1 Bi 0.0000 0.0000 0.0000
# Formation energy from raw total energies in eV/f.u.: -4.24
# Size of the total moment in Bohr magnetons per cell: 0.00

***

# Ba3Bi2Sb4, relaxed, DFT GGA-PBE
data_Ba3Bi2Sb4
_chemical_formula_sum 'Ba3 Bi2 Sb4'
_symmetry_space_group_name_H-M 'P 1'
_symmetry_Int_Tables_number 1
_cell_length_a 5.1137
_cell_length_b 7.2950
_cell_length_c 10.9817
_cell_angle_alpha 65.15
_cell_angle_beta 76.54
_cell_angle_gamma 69.48
loop_
_symmetry_equiv_pos_as_xyz
'x,y,z'
loop_
_atom_site_label
_atom_site_type_symbol
_atom_site_fract_x
_atom_site_fract_y
_atom_site_fract_z
Sb1 Sb 0.9635 0.6961 0.3769
Sb2 Sb 0.2945 0.3763 0.0348
Sb3 Sb 0.7055 0.6237 0.9652
Sb4 Sb 0.0365 0.3039 0.6231
Ba1 Ba 0.6614 0.3480 0.3291
Ba2 Ba 0.3386 0.6520 0.6709
Ba3 Ba 0.0000 0.0000 0.0000
Bi1 Bi 0.3693 0.9708 0.2906
Bi2 Bi 0.6307 0.0292 0.7094
# Formation energy from raw total energies in eV/f.u.: -5.76
# Size of the total moment in Bohr magnetons per cell: 0.00